Compound: HgNCl2
Source: Alexandria via LeMat-Bulk
Functional: GGA-PBE
Structure: relaxed

Cell lengths 3.839, 8.523, 8.173 Å; angles 103.64, 90.00, 103.01 degrees
Fractional coordinates of all 8 atoms:
1 Hg 0.358 0.716 0.562
2 Hg 0.642 0.284 0.438
3 N 0.380 0.760 0.044
4 N 0.620 0.240 0.956
5 Cl 0.786 0.573 0.334
6 Cl 0.214 0.427 0.666
7 Cl 0.950 0.901 0.709
8 Cl 0.050 0.099 0.291

Computed properties:
The total energy is -2.19 eV per atom. The value obtained for the energy above the most stable polymorph in this dataset is 0.114 eV per atom. The uncorrected formation energy comes out at 3.57 eV/f.u. As for the total moment: 3.0 μB/f.u.